The following is a GGA-PBE calculation of a relaxed structure of CuNi4Rh3, from the Alexandria database.

The structure in POSCAR format:
```
CuNi4Rh3
1.0
-0.6880 -0.3313 -5.4504
3.9910 -2.3899 2.9412
-2.9282 -2.5989 3.8681
Ni Cu Rh
4 1 3
direct
0.7059 0.7528 0.9531 Ni
0.7204 0.7563 0.4767 Ni
0.7204 0.2437 0.9641 Ni
0.2003 0.2472 0.9531 Ni
0.9109 0.5000 0.4109 Cu
0.2163 0.2629 0.4792 Rh
0.2163 0.7371 0.9534 Rh
0.4606 0.0000 0.4606 Rh
```

Values from the calculation:
relative energy among the computed polymorphs = 22.6 kJ per mole of atoms
DOS at the Fermi energy = 1.726 states/eV/atom
magnetization = 4.0 μB/cell
energy relative to the elements = 0.30 eV per atom
space group = Imm2
crystal system = orthorhombic
DFT total energy = -5.8619 eV/atom